VASP calculation (PBE-GGA) on an optimized crystal structure of NpCdPdRh.

a = 4.7582 Å, b = 4.7582 Å, c = 4.7582 Å
α = 60.00°, β = 60.00°, γ = 60.00°
Closest atoms and distances in Å follow each position.
Atoms (fractional coordinates):
Np 0.0000 0.0000 0.0000  4 Rh 2.91, 4 Pd 2.91
Cd 0.5000 0.5000 0.5000  4 Rh 2.91, 4 Pd 2.91
Pd 0.2500 0.2500 0.2500  4 Cd 2.91, 4 Np 2.91
Rh 0.7500 0.7500 0.7500  4 Cd 2.91, 4 Np 2.91

**Symmetry**: F-43m
**Energy of formation from the pure elements**: -0.24 eV per atom

---

VASP calculation (PBE-GGA) on an optimized crystal structure of PmNpCdSn.

a = 5.3764 Å, b = 5.3764 Å, c = 5.3764 Å
α = 60.00°, β = 60.00°, γ = 60.00°
Closest atoms and distances in Å follow each position.
Atoms (fractional coordinates):
Pm 0.0000 0.0000 0.0000  4 Cd 3.29, 4 Sn 3.29
Np 0.5000 0.5000 0.5000  4 Sn 3.29, 4 Cd 3.29
Cd 0.2500 0.2500 0.2500  4 Np 3.29, 4 Pm 3.29
Sn 0.7500 0.7500 0.7500  4 Np 3.29, 4 Pm 3.29

**Symmetry**: F-43m
**Energy of formation from the pure elements**: -0.09 eV per atom

---

VASP calculation (PBE-GGA) on an optimized crystal structure of Np2CdPt9.

a = 4.1289 Å, b = 4.1289 Å, c = 12.2695 Å
α = 90.00°, β = 90.00°, γ = 90.00°
Closest atoms and distances in Å follow each position.
Atoms (fractional coordinates):
Np 0.0000 0.0000 0.1718  12 Pt 2.87-2.95
Np 0.0000 0.0000 0.8282  12 Pt 2.87-2.95
Cd 0.0000 0.0000 0.5000  12 Pt 2.90-2.92
Pt 0.0000 0.5000 0.0000  8 Pt 2.92, 4 Np 2.95
Pt 0.0000 0.5000 0.3341  2 Np 2.87, 8 Pt 2.90-2.92, 2 Cd 2.90
Pt 0.0000 0.5000 0.6659  2 Np 2.87, 8 Pt 2.90-2.92, 2 Cd 2.90
Pt 0.5000 0.0000 0.0000  8 Pt 2.92, 4 Np 2.95
Pt 0.5000 0.0000 0.3341  2 Np 2.87, 8 Pt 2.90-2.92, 2 Cd 2.90
Pt 0.5000 0.0000 0.6659  2 Np 2.87, 8 Pt 2.90-2.92, 2 Cd 2.90
Pt 0.5000 0.5000 0.1683  8 Pt 2.90-2.92, 4 Np 2.92
Pt 0.5000 0.5000 0.5000  8 Pt 2.90, 4 Cd 2.92
Pt 0.5000 0.5000 0.8317  8 Pt 2.90-2.92, 4 Np 2.92

**Symmetry**: P4/mmm
**Energy of formation from the pure elements**: -0.50 eV per atom

---

VASP calculation (PBE-GGA) on an optimized crystal structure of Np2CdPtRh4.

a = 5.8905 Å, b = 5.8905 Å, c = 13.4926 Å
α = 90.00°, β = 90.00°, γ = 139.90°
Closest atoms and distances in Å follow each position.
Atoms (fractional coordinates):
Np 0.1474 0.8526 0.5850  2 Rh 2.45-2.56
Np 0.1474 0.8526 0.9150  2 Rh 2.45-2.56
Np 0.8526 0.1474 0.0850  2 Rh 2.45-2.56
Np 0.8526 0.1474 0.4150  2 Rh 2.45-2.56
Cd 0.3737 0.6263 0.7500  6 Rh 2.68-2.90, 2 Pt 2.84
Cd 0.6263 0.3737 0.2500  6 Rh 2.68-2.90, 2 Pt 2.84
Pt 0.3071 0.6929 0.2500  4 Rh 2.68-2.75, 2 Cd 2.84
Pt 0.6929 0.3071 0.7500  4 Rh 2.68-2.75, 2 Cd 2.84
Rh 0.0332 0.9668 0.7500  2 Np 2.56, 2 Cd 2.68, 2 Pt 2.68, 2 Rh 2.84
Rh 0.1430 0.8570 0.0967  1 Np 2.45
Rh 0.1430 0.8570 0.4033  1 Np 2.45
Rh 0.5000 0.5000 0.0000  4 Np 2.84, 4 Rh 2.88
Rh 0.5000 0.5000 0.5000  4 Np 2.84, 4 Rh 2.88
Rh 0.8570 0.1430 0.5967  1 Np 2.45
Rh 0.8570 0.1430 0.9033  1 Np 2.45
Rh 0.9668 0.0332 0.2500  2 Np 2.56, 2 Cd 2.68, 2 Pt 2.68, 2 Rh 2.84

**Symmetry**: Cmcm
**Energy of formation from the pure elements**: -0.17 eV per atom

---

VASP calculation (PBE-GGA) on an optimized crystal structure of NpCdPtRh.

a = 4.7593 Å, b = 4.7593 Å, c = 4.7593 Å
α = 60.00°, β = 60.00°, γ = 60.00°
Closest atoms and distances in Å follow each position.
Atoms (fractional coordinates):
Np 0.0000 0.0000 0.0000  4 Rh 2.91, 4 Pt 2.91
Cd 0.5000 0.5000 0.5000  4 Rh 2.91, 4 Pt 2.91
Pt 0.2500 0.2500 0.2500  4 Cd 2.91, 4 Np 2.91
Rh 0.7500 0.7500 0.7500  4 Cd 2.91, 4 Np 2.91

**Symmetry**: F-43m
**Energy of formation from the pure elements**: -0.34 eV per atom

---

VASP calculation (PBE-GGA) on an optimized crystal structure of Np2CdSi3Pt4.

a = 4.1089 Å, b = 4.1089 Å, c = 10.9595 Å
α = 90.00°, β = 90.00°, γ = 90.00°
Closest atoms and distances in Å follow each position.
Atoms (fractional coordinates):
Np 0.0000 0.5000 0.2440  8 Pt 3.09-3.37, 4 Si 3.18
Np 0.5000 0.0000 0.7560  8 Pt 3.09-3.37, 4 Si 3.18
Cd 0.0000 0.0000 0.5000  4 Pt 2.71, 4 Si 2.91
Si 0.0000 0.5000 0.8746  5 Pt 2.34-2.47
Si 0.5000 0.0000 0.1254  5 Pt 2.34-2.47
Si 0.5000 0.5000 0.5000  4 Pt 2.71, 4 Cd 2.91
Pt 0.0000 0.0000 0.0000  4 Si 2.47
Pt 0.0000 0.5000 0.6607  1 Si 2.34
Pt 0.5000 0.0000 0.3393  1 Si 2.34
Pt 0.5000 0.5000 0.0000  4 Si 2.47

**Symmetry**: P-4m2
**ΔE_f (raw)**: -590 meV per atom

---

> Number 6 is which compound?

Np2CdSi3Pt4

---

> Number 5 is which compound?

NpCdPtRh